# BaInPt2Au | the Alexandria database | GGA-PBE | relaxed
data_BaInPt2Au
_chemical_formula_sum 'Ba2 In2 Pt4 Au2'
_cell_length_a 4.224
_cell_length_b 4.364
_cell_length_c 12.823
_cell_angle_alpha 90.00
_cell_angle_beta 90.00
_cell_angle_gamma 90.00
_space_group_name_H-M_alt 'I m m 2'
_space_group_IT_number 44
_space_group_name_Hall 'I 2 -2'
loop_
_atom_site_label
_atom_site_type_symbol
_atom_site_fract_x
_atom_site_fract_y
_atom_site_fract_z
Ba1 Ba 0.000 0.000 0.000
In1 In 0.000 0.500 0.760
Pt1 Pt 0.000 0.000 0.401
Pt2 Pt 0.000 0.500 0.267
Au1 Au 0.000 0.000 0.614
# **Total magnetic moment**: 0.000 μB/f.u.
# **DFT formation energy**: -0.51 eV/atom



# AcSmYHo | the Alexandria database | GGA-PBE | relaxed
data_AcSmYHo
_chemical_formula_sum 'Ac4 Sm4 Y4 Ho4'
_cell_length_a 8.288
_cell_length_b 8.288
_cell_length_c 8.288
_cell_angle_alpha 90.00
_cell_angle_beta 90.00
_cell_angle_gamma 90.00
_space_group_name_H-M_alt 'F -4 3 m'
_space_group_IT_number 216
_space_group_name_Hall 'F -4 2 3'
loop_
_atom_site_label
_atom_site_type_symbol
_atom_site_fract_x
_atom_site_fract_y
_atom_site_fract_z
Ac1 Ac 0.000 0.000 0.000
Sm1 Sm 0.000 0.000 0.500
Y1 Y 0.250 0.250 0.750
Ho1 Ho 0.250 0.250 0.250
# **Total magnetic moment**: 0.000 μB/f.u.
# **Energy relative to the lowest polymorph listed for this composition**: 0.000 eV/atom
# **DFT formation energy**: 0.11 eV/atom



# BeAl2Ni | the Alexandria database | GGA-PBE | relaxed
data_BeAl2Ni
_chemical_formula_sum 'Be1 Al2 Ni1'
_cell_length_a 2.955
_cell_length_b 3.007
_cell_length_c 5.430
_cell_angle_alpha 90.00
_cell_angle_beta 90.00
_cell_angle_gamma 90.00
_space_group_name_H-M_alt 'P m m m'
_space_group_IT_number 47
_space_group_name_Hall '-P 2 2'
loop_
_atom_site_label
_atom_site_type_symbol
_atom_site_fract_x
_atom_site_fract_y
_atom_site_fract_z
Be1 Be 0.000 0.000 0.000
Al1 Al 0.500 0.500 0.250
Ni1 Ni 0.000 0.000 0.500
# **Total magnetic moment**: 0.000 μB/f.u.
# **DFT formation energy**: -0.24 eV/atom



# KSnHBr2 | the Alexandria database | GGA-PBE | relaxed
data_KSnHBr2
_chemical_formula_sum 'K1 Sn1 H1 Br2'
_cell_length_a 5.925
_cell_length_b 5.925
_cell_length_c 4.206
_cell_angle_alpha 90.00
_cell_angle_beta 90.00
_cell_angle_gamma 90.00
_space_group_name_H-M_alt 'P 4/m m m'
_space_group_IT_number 123
_space_group_name_Hall '-P 4 2'
loop_
_atom_site_label
_atom_site_type_symbol
_atom_site_fract_x
_atom_site_fract_y
_atom_site_fract_z
K1 K 0.000 0.000 0.000
Sn1 Sn 0.500 0.500 0.500
H1 H 0.500 0.500 0.000
Br1 Br 0.000 0.500 0.500
# **VASP energy**: -3.10 eV/atom
# **Total magnetic moment**: 0.000 μB/f.u.



# CdRh2Cl | the Alexandria database | GGA-PBE | relaxed
data_CdRh2Cl
_chemical_formula_sum 'Cd2 Rh4 Cl2'
_cell_length_a 4.024
_cell_length_b 4.024
_cell_length_c 8.453
_cell_angle_alpha 90.00
_cell_angle_beta 90.00
_cell_angle_gamma 90.00
_space_group_name_H-M_alt 'I 4/m m m'
_space_group_IT_number 139
_space_group_name_Hall '-I 4 2'
loop_
_atom_site_label
_atom_site_type_symbol
_atom_site_fract_x
_atom_site_fract_y
_atom_site_fract_z
Cd1 Cd 0.000 0.000 0.000
Rh1 Rh 0.000 0.500 0.250
Cl1 Cl 0.000 0.000 0.500
# **Total magnetic moment**: 1.361 μB/f.u.
# **Energy relative to the lowest polymorph listed for this composition**: 0.499 eV/atom



# Ac2PaSiO8 | the Alexandria database | GGA-PBE | relaxed
data_Ac2PaSiO8
_chemical_formula_sum 'Ac2 Pa1 Si1 O8'
_cell_length_a 4.216
_cell_length_b 5.640
_cell_length_c 8.134
_cell_angle_alpha 79.92
_cell_angle_beta 85.80
_cell_angle_gamma 82.78
_space_group_name_H-M_alt 'P -1'
_space_group_IT_number 2
_space_group_name_Hall '-P 1'
loop_
_atom_site_label
_atom_site_type_symbol
_atom_site_fract_x
_atom_site_fract_y
_atom_site_fract_z
Ac1 Ac 0.034 0.025 0.247
Pa1 Pa 0.500 0.500 0.500
Si1 Si 0.500 0.500 0.000
O1 O 0.058 0.721 0.532
O2 O 0.203 0.722 0.028
O3 O 0.435 0.203 0.688
O4 O 0.448 0.357 0.201
# **VASP energy**: -8.20 eV/atom
# **Total magnetic moment**: 1.066 μB/f.u.



# LaSc2Tl2 | the Alexandria database | GGA-PBE | relaxed
data_LaSc2Tl2
_chemical_formula_sum 'La2 Sc4 Tl4'
_cell_length_a 8.874
_cell_length_b 8.874
_cell_length_c 3.303
_cell_angle_alpha 90.00
_cell_angle_beta 90.00
_cell_angle_gamma 90.00
_space_group_name_H-M_alt 'P 4/m b m'
_space_group_IT_number 127
_space_group_name_Hall '-P 4 2ab'
loop_
_atom_site_label
_atom_site_type_symbol
_atom_site_fract_x
_atom_site_fract_y
_atom_site_fract_z
La1 La 0.000 0.000 0.000
Sc1 Sc 0.124 0.376 0.000
Tl1 Tl 0.174 0.674 0.500
# **Total magnetic moment**: 0.081 μB/f.u.
# **Energy relative to the lowest polymorph listed for this composition**: 0.000 eV/atom
# **DFT formation energy**: -0.24 eV/atom



# Ca2Ac6Sm3 | the Alexandria database | GGA-PBE | relaxed
data_Ca2Ac6Sm3
_chemical_formula_sum 'Ca6 Ac18 Sm9'
_cell_length_a 3.8865
_cell_length_b 3.8865
_cell_length_c 103.7351
_cell_angle_alpha 90.00
_cell_angle_beta 90.00
_cell_angle_gamma 120.00
_space_group_name_H-M_alt 'R -3 m'
_space_group_IT_number 166
_space_group_name_Hall '-R 3 2"'
loop_
_atom_site_label
_atom_site_type_symbol
_atom_site_fract_x
_atom_site_fract_y
_atom_site_fract_z
Ca1 Ca 0.0000 0.0000 0.0472
Ac1 Ac 0.0000 0.0000 0.1374
Ac2 Ac 0.0000 0.0000 0.3180
Ac3 Ac 0.0000 0.0000 0.4124
Sm1 Sm 0.0000 0.0000 0.2254
Sm2 Sm 0.0000 0.0000 0.5000
# **Total magnetic moment**: 0.000 μB/f.u.
# **DFT formation energy**: 0.03 eV/atom



# NaNb2CrSb | the Alexandria database | GGA-PBE | relaxed
data_NaNb2CrSb
_chemical_formula_sum 'Na1 Nb2 Cr1 Sb1'
_cell_length_a 4.593
_cell_length_b 4.593
_cell_length_c 5.141
_cell_angle_alpha 90.00
_cell_angle_beta 90.00
_cell_angle_gamma 90.00
_space_group_name_H-M_alt 'P 4/m m m'
_space_group_IT_number 123
_space_group_name_Hall '-P 4 2'
loop_
_atom_site_label
_atom_site_type_symbol
_atom_site_fract_x
_atom_site_fract_y
_atom_site_fract_z
Na1 Na 0.000 0.000 0.000
Nb1 Nb 0.000 0.500 0.500
Cr1 Cr 0.000 0.000 0.500
Sb1 Sb 0.500 0.500 0.000
# **Total magnetic moment**: 0.604 μB/f.u.
# **Energy relative to the lowest polymorph listed for this composition**: 0.000 eV/atom



# BaSiS2 | the Alexandria database | GGA-PBE | relaxed
data_BaSiS2
_chemical_formula_sum 'Ba3 Si3 S6'
_cell_length_a 4.7933
_cell_length_b 4.7933
_cell_length_c 23.1011
_cell_angle_alpha 90.00
_cell_angle_beta 90.00
_cell_angle_gamma 120.00
_space_group_name_H-M_alt 'R -3 m'
_space_group_IT_number 166
_space_group_name_Hall '-R 3 2"'
loop_
_atom_site_label
_atom_site_type_symbol
_atom_site_fract_x
_atom_site_fract_y
_atom_site_fract_z
Ba1 Ba 0.0000 0.0000 0.0000
Si1 Si 0.0000 0.0000 0.5000
S1 S 0.0000 0.0000 0.4023
# **VASP energy**: -4.50 eV/atom
# **Total magnetic moment**: 0.000 μB/f.u.



# SmTaP | the Alexandria database | GGA-PBE | relaxed
data_SmTaP
_chemical_formula_sum 'Sm2 Ta2 P2'
_cell_length_a 3.948
_cell_length_b 3.948
_cell_length_c 7.815
_cell_angle_alpha 90.00
_cell_angle_beta 90.00
_cell_angle_gamma 90.00
_space_group_name_H-M_alt 'P 4/n m m'
_space_group_IT_number 129
loop_
_space_group_symop_operation_xyz
'x,y,z'
'-x,-y,-z'
'-y+1/2,x,z'
'y+1/2,-x,-z'
'-x+1/2,-y+1/2,z'
'x+1/2,y+1/2,-z'
'y,-x+1/2,z'
'-y,x+1/2,-z'
'x+1/2,-y,-z'
'-x+1/2,y,z'
'-y,-x,-z'
'y,x,z'
'-x,y+1/2,-z'
'x,-y+1/2,z'
'y+1/2,x+1/2,-z'
'-y+1/2,-x+1/2,z'
loop_
_atom_site_label
_atom_site_type_symbol
_atom_site_fract_x
_atom_site_fract_y
_atom_site_fract_z
Sm1 Sm 0.250 0.250 0.143
Ta1 Ta 0.250 0.750 0.500
P1 P 0.250 0.250 0.731
# **Total magnetic moment**: 0.089 μB/f.u.
# **DFT formation energy**: -0.88 eV/atom



# CsAg2As2 | the Alexandria database | GGA-PBE | relaxed
data_CsAg2As2
_chemical_formula_sum 'Cs2 Ag4 As4'
_cell_length_a 4.891
_cell_length_b 4.891
_cell_length_c 10.635
_cell_angle_alpha 90.00
_cell_angle_beta 90.00
_cell_angle_gamma 90.00
_space_group_name_H-M_alt 'I 4/m m m'
_space_group_IT_number 139
_space_group_name_Hall '-I 4 2'
loop_
_atom_site_label
_atom_site_type_symbol
_atom_site_fract_x
_atom_site_fract_y
_atom_site_fract_z
Cs1 Cs 0.000 0.000 0.000
Ag1 Ag 0.000 0.500 0.250
As1 As 0.000 0.000 0.381
# **Total magnetic moment**: 0.000 μB/f.u.
# **Energy relative to the lowest polymorph listed for this composition**: 0.000 eV/atom
# **DFT formation energy**: -0.10 eV/atom



- Which of these has the highest total magnetic moment?
  CdRh2Cl



- Number 2 is which compound?
  AcSmYHo



Repeat the first record exactly.
# BaInPt2Au | the Alexandria database | GGA-PBE | relaxed
data_BaInPt2Au
_chemical_formula_sum 'Ba2 In2 Pt4 Au2'
_cell_length_a 4.224
_cell_length_b 4.364
_cell_length_c 12.823
_cell_angle_alpha 90.00
_cell_angle_beta 90.00
_cell_angle_gamma 90.00
_space_group_name_H-M_alt 'I m m 2'
_space_group_IT_number 44
_space_group_name_Hall 'I 2 -2'
loop_
_atom_site_label
_atom_site_type_symbol
_atom_site_fract_x
_atom_site_fract_y
_atom_site_fract_z
Ba1 Ba 0.000 0.000 0.000
In1 In 0.000 0.500 0.760
Pt1 Pt 0.000 0.000 0.401
Pt2 Pt 0.000 0.500 0.267
Au1 Au 0.000 0.000 0.614
# **Total magnetic moment**: 0.000 μB/f.u.
# **DFT formation energy**: -0.51 eV/atom